Entry 1:
DFT (PBE) results for a geometry-optimized HoErMnAu structure.

Cell lengths 5.0274, 5.0274, 5.0274 Å; angles 60.00, 60.00, 60.00 degrees
Last column: nearest neighbours and their distance in Å.
Fractional positions:
Er1 0.0000 0.0000 0.0000  4 Mn 3.08, 4 Au 3.08
Mn1 0.2500 0.2500 0.2500  4 Er 3.08, 4 Ho 3.08
Ho1 0.5000 0.5000 0.5000  4 Mn 3.08, 4 Au 3.08
Au1 0.7500 0.7500 0.7500  4 Ho 3.08, 4 Er 3.08

Summary:
- SG: F-43m (216)
- Calculated volume: 89.85 Å³/f.u.
- Total magnetization: 3.508 μB per cell
- E_tot: -5.67 eV/atom
- DFT formation energy: -0.271 eV/atom

=====

Entry 2:
DFT (PBE) results for a geometry-optimized HoErAu2O8 structure.

Cell lengths 5.2860, 5.2860, 6.4560 Å; angles 114.17, 114.17, 90.00 degrees
Last column: nearest neighbours and their distance in Å.
Fractional positions:
Au1 0.2500 0.7500 0.5000  8 O 2.24
Au2 0.5000 0.5000 0.0000  8 O 2.24
O1 0.3739 0.3893 0.2493  2 Au 2.24, 1 Er 2.33, 1 Ho 2.34, 1 O 2.49
O2 0.1400 0.6261 0.7507  2 Au 2.24, 1 Er 2.33, 1 Ho 2.34, 1 O 2.49
O3 0.6107 0.6262 0.7506  2 Au 2.24, 1 Er 2.33, 1 Ho 2.34, 1 O 2.49
O4 0.8756 0.3893 0.2494  2 Au 2.24, 1 Er 2.33, 1 Ho 2.34, 1 O 2.49
O5 0.3738 0.8601 0.2494  2 Au 2.24, 1 Er 2.33, 1 Ho 2.34, 1 O 2.49
O6 0.6107 0.1246 0.7507  2 Au 2.24, 1 Er 2.33, 1 Ho 2.34, 1 O 2.49
O7 0.8754 0.8600 0.2493  2 Au 2.24, 1 Er 2.33, 1 Ho 2.34, 1 O 2.49
O8 0.1399 0.1244 0.7506  2 Au 2.24, 1 Er 2.33, 1 Ho 2.34, 1 O 2.49
Ho1 0.7500 0.2500 0.5000  8 O 2.34
Er1 0.0000 0.0000 0.0000  8 O 2.33

Summary:
- E_form (uncorrected): -1.13 eV/atom
- SG: I-4m2 (119)
- Calculated volume: 147.08 Å³/f.u.
- Total magnetization: 0.001 μB per cell
- E_tot: -5.74 eV/atom

=====

Entry 3:
DFT (PBE) results for a geometry-optimized HoErPbAu structure.

Cell lengths 5.2280, 5.2280, 5.2280 Å; angles 60.00, 60.00, 60.00 degrees
Last column: nearest neighbours and their distance in Å.
Fractional positions:
Au1 0.0000 0.0000 0.0000  4 Ho 3.20, 4 Er 3.20
Ho1 0.7500 0.7500 0.7500  4 Pb 3.20, 4 Au 3.20
Er1 0.2500 0.2500 0.2500  4 Pb 3.20, 4 Au 3.20
Pb1 0.5000 0.5000 0.5000  4 Er 3.20, 4 Ho 3.20

Summary:
- SG: F-43m (216)
- Calculated volume: 101.04 Å³/f.u.
- Total magnetization: 0.598 μB per cell
- E_tot: -4.62 eV/atom
- DFT formation energy: -0.590 eV/atom

=====

Entry 4:
DFT (PBE) results for a geometry-optimized HoErPdAu structure.

Cell lengths 4.9948, 4.9948, 4.9948 Å; angles 60.00, 60.00, 60.00 degrees
Last column: nearest neighbours and their distance in Å.
Fractional positions:
Er1 0.2500 0.2500 0.2500  4 Pd 3.06, 4 Au 3.06
Au1 0.0000 0.0000 0.0000  4 Ho 3.06, 4 Er 3.06
Ho1 0.7500 0.7500 0.7500  4 Au 3.06, 4 Pd 3.06
Pd1 0.5000 0.5000 0.5000  4 Er 3.06, 4 Ho 3.06

Summary:
- E above lowest polymorph: 41 meV per atom
- SG: F-43m (216)
- Calculated volume: 88.11 Å³/f.u.
- Total magnetization: 0.000 μB per cell
- E_tot: -5.29 eV/atom
- DFT formation energy: -0.884 eV/atom

=====

Entry 5:
DFT (PBE) results for a geometry-optimized HoErPdAu structure.

Cell lengths 3.7085, 4.6442, 5.6151 Å; angles 90.00, 109.28, 90.00 degrees
Last column: nearest neighbours and their distance in Å.
Fractional positions:
Ho1 0.1394 0.0000 0.2787  3 Pd 2.89-3.04, 4 Au 3.03
Pd1 0.4121 0.0000 0.8242  3 Ho 2.89-3.04, 2 Au 2.96, 4 Er 3.02
Er1 0.8627 0.5000 0.7254  3 Au 2.93-3.01, 4 Pd 3.02
Au1 0.5858 0.5000 0.1717  3 Er 2.93-3.01, 2 Pd 2.96, 4 Ho 3.03

Summary:
- E above lowest polymorph: 0 meV per atom
- SG: Amm2 (38)
- Calculated volume: 91.28 Å³/f.u.
- Total magnetization: 0.000 μB per cell
- E_tot: -5.33 eV/atom
- DFT formation energy: -0.925 eV/atom

=====

Entry 6:
DFT (PBE) results for a geometry-optimized HoErRhAu structure.

Cell lengths 3.5085, 3.5085, 6.9186 Å; angles 90.00, 90.00, 90.00 degrees
Last column: nearest neighbours and their distance in Å.
Fractional positions:
Au1 0.5000 0.5000 0.1090  4 Er 3.07, 4 Ho 3.08
Ho1 0.0000 0.0000 0.8440  4 Rh 2.98, 4 Au 3.08, 1 Er 3.28
Rh1 0.5000 0.5000 0.6054  4 Er 2.97, 4 Ho 2.98
Er1 0.0000 0.0000 0.3695  4 Rh 2.97, 4 Au 3.07, 1 Ho 3.28

Summary:
- E above lowest polymorph: 0 meV per atom
- SG: P4mm (99)
- Calculated volume: 85.16 Å³/f.u.
- Total magnetization: 0.000 μB per cell
- E_tot: -5.82 eV/atom
- DFT formation energy: -0.882 eV/atom

=====

Entry 7:
DFT (PBE) results for a geometry-optimized HoErRhAu structure.

Cell lengths 4.9432, 4.9432, 4.9432 Å; angles 60.00, 60.00, 60.00 degrees
Last column: nearest neighbours and their distance in Å.
Fractional positions:
Rh1 0.5000 0.5000 0.5000  4 Ho 3.03, 4 Er 3.03
Ho1 0.7500 0.7500 0.7500  4 Au 3.03, 4 Rh 3.03
Au1 0.0000 0.0000 0.0000  4 Ho 3.03, 4 Er 3.03
Er1 0.2500 0.2500 0.2500  4 Au 3.03, 4 Rh 3.03

Summary:
- E above lowest polymorph: 21 meV per atom
- SG: F-43m (216)
- Calculated volume: 85.41 Å³/f.u.
- Total magnetization: 0.000 μB per cell
- E_tot: -5.80 eV/atom
- DFT formation energy: -0.861 eV/atom

=====

Entry 8:
DFT (PBE) results for a geometry-optimized HoErTlAu structure.

Cell lengths 5.2072, 5.2072, 5.2072 Å; angles 60.00, 60.00, 60.00 degrees
Last column: nearest neighbours and their distance in Å.
Fractional positions:
Ho1 0.7500 0.7500 0.7500  4 Tl 3.19, 4 Au 3.19
Au1 0.0000 0.0000 0.0000  4 Ho 3.19, 4 Er 3.19
Er1 0.2500 0.2500 0.2500  4 Tl 3.19, 4 Au 3.19
Tl1 0.5000 0.5000 0.5000  4 Ho 3.19, 4 Er 3.19

Summary:
- E above lowest polymorph: 42 meV per atom
- SG: F-43m (216)
- Calculated volume: 99.84 Å³/f.u.
- Total magnetization: 0.000 μB per cell
- E_tot: -4.26 eV/atom
- DFT formation energy: -0.566 eV/atom